A geometry-optimized Mn3O3F structure. Source: Alexandria via LeMat-Bulk, functional PBE+U.

The space group is R-3 (No. 148, hexagonal axes) and the conventional cell measures 6.0229, 6.0229 and 17.3969 Å, with angles of 90.00, 90.00 and 120.00 degrees. The inequivalent atoms are Mn at (0.0141, 0.7013, 0.2384), O at (0.0174, 0.6443, 0.7735) and F at (0.0000, 0.0000, 0.3147).

The volume is 13.012 Å³ per atom. As for the total DFT energy (no corrections): -7.271 eV per atom.